Record 1
# USn2Pt

A relaxed USn2Pt crystal (PBE-GGA, Alexandria).

```
4
Lattice="3.1749 0.0000 0.0000 1.5874 2.7495 0.0000 1.5874 0.9165 10.6139" Properties=species:S:1:pos:R:3 pbc="T T T"
U 0.0000 0.0000 0.0000
Sn 1.5874 0.9165 7.4421
Sn 4.7623 2.7495 3.1718
Pt 3.1749 1.8330 5.3070
```

symmetry: R-3m, No. 166
spin magnetization: 2.75 μB per cell
energy of formation from the pure elements: 11 kJ per mole of atoms

---

Record 2
# U2SnPt2

A relaxed U2SnPt2 crystal (PBE-GGA, Alexandria).

```
10
Lattice="7.7470 0.0000 0.0000 0.0000 7.7470 0.0000 0.0000 0.0000 3.6853" Properties=species:S:1:pos:R:3 pbc="T T T"
U 5.1922 1.3187 1.8426
U 2.5548 6.4283 1.8426
U 6.4283 5.1922 1.8426
U 1.3187 2.5548 1.8426
Sn 3.8735 3.8735 0.0000
Sn 0.0000 0.0000 0.0000
Pt 1.0195 4.8930 0.0000
Pt 6.7275 2.8540 0.0000
Pt 2.8540 1.0195 0.0000
Pt 4.8930 6.7275 0.0000
```

symmetry: P4/mbm, No. 127
spin magnetization: 7.87 μB per cell
energy of formation from the pure elements: -56 kJ per mole of atoms

---

no.,density of states at the Fermi level (states/eV/cell)
1,6.29
2,27.03